Compound: Ta4Re3Mo
Source: Alexandria via LeMat-Bulk
Functional: PBE-GGA
Structure: relaxed

```
data_Ta4Re3Mo
_symmetry_space_group_name_H-M 'P m m m'
_symmetry_Int_Tables_number 47
_symmetry_space_group_name_Hall '-P 2 2'
_cell_length_a 3.200
_cell_length_b 4.541
_cell_length_c 9.092
_cell_angle_alpha 90.00
_cell_angle_beta 90.00
_cell_angle_gamma 90.00
loop_
_atom_site_label
_atom_site_type_symbol
_atom_site_fract_x
_atom_site_fract_y
_atom_site_fract_z
_atom_site_occupancy
Ta1 Ta 0.000 0.000 0.000 1
Ta2 Ta 0.000 0.000 0.500 1
Ta3 Ta 0.000 0.500 0.249 1
Re1 Re 0.500 0.000 0.248 1
Re2 Re 0.500 0.500 0.000 1
Mo1 Mo 0.500 0.500 0.500 1
```

Output
Fermi-level density of states = 3.9 states/eV/f.u.
volume = 132.1 Å³ per cell
ΔE_f = -0.379 eV/atom